The following is a DFT calculation (PBE) of Be2AlIr2 after structural relaxation.

```
Be2AlIr2
1.0
6.413 0.000 0.000
0.000 6.413 0.000
0.000 0.000 2.825
Be Al Ir
4 2 4
direct
0.119 0.381 0.000 Be
0.381 0.881 0.000 Be
0.619 0.119 0.000 Be
0.881 0.619 0.000 Be
0.000 0.000 0.000 Al
0.500 0.500 0.000 Al
0.176 0.676 0.500 Ir
0.324 0.176 0.500 Ir
0.676 0.824 0.500 Ir
0.824 0.324 0.500 Ir
```

## Properties
Space group ... P4/mbm
Distance to the lowest polymorph of the same formula ... 0 meV/atom
DOS at the Fermi energy ... 0.357 states/eV/atom
Energy of formation ... -3.3 eV per formula unit
E ... -64.40 eV/cell